i | Material: RbBaTe2I
Method: DFT, PBE
State: optimized geometry

Lattice parameters (Å, degrees): 6.155 6.155 6.534 90.00 90.00 90.00
Positions (direct):
I 0.000 0.000 0.500
Te 0.000 0.500 0.000
Te 0.500 0.000 0.000
Ba 0.500 0.500 0.500
Rb 0.000 0.000 0.000

For the theoretical density, the calculation gives 4.058 g cm⁻³.

***

ii | Material: RbBaTe2I
Method: DFT, PBE
State: optimized geometry

Lattice parameters (Å, degrees): 6.684 6.684 6.786 90.00 90.00 90.00
Last column: magnetic moment on the atom in μB.
Positions (direct):
I 0.000 0.000 0.500  0.06
Te 0.000 0.500 0.000  0.43
Te 0.500 0.000 0.000  0.43
Ba 0.000 0.000 0.000  0.00
Rb 0.500 0.500 0.500  0.00

For the theoretical density, the calculation gives 3.313 g cm⁻³.

***

Stability, descending: ii, i

***

i | Material: RbBaW2I
Method: DFT, PBE
State: optimized geometry

Lattice parameters (Å, degrees): 6.599 6.731 6.599 90.00 90.00 90.00
Last column: magnetic moment on the atom in μB.
Positions (direct):
I 0.000 0.500 0.000  0.03
Rb 0.500 0.500 0.500  0.01
Ba 0.000 0.000 0.000  0.14
W 0.000 0.000 0.500  3.31
W 0.500 0.000 0.000  3.48

For the theoretical density, the calculation gives 4.064 g cm⁻³.

***

ii | Material: RbBaW2I
Method: DFT, PBE
State: optimized geometry

Lattice parameters (Å, degrees): 5.157 5.157 6.813 90.00 90.00 90.00
Last column: magnetic moment on the atom in μB.
Positions (direct):
I 0.500 0.500 0.500  0.07
Rb 0.000 0.000 0.000  0.04
Ba 0.000 0.000 0.500  -0.01
W 0.000 0.500 0.000  1.88
W 0.500 0.000 0.000  1.88

For the theoretical density, the calculation gives 6.576 g cm⁻³.

***

Stability, descending: i, ii

***

i | Material: BaRe3I
Method: DFT, PBE
State: optimized geometry

Lattice parameters (Å, degrees): 6.083 6.083 6.083 90.00 90.00 90.00
Last column: magnetic moment on the atom in μB.
Positions (direct):
I 0.500 0.500 0.500  0.24
Re 0.000 0.500 0.000  3.68
Re 0.000 0.000 0.500  3.29
Re 0.500 0.000 0.000  4.00
Ba 0.000 0.000 0.000  0.01

For the theoretical density, the calculation gives 6.070 g cm⁻³.

***

ii | Material: BaRe3I
Method: DFT, PBE
State: optimized geometry

Lattice parameters (Å, degrees): 5.002 5.002 5.002 90.00 90.00 90.00
Last column: magnetic moment on the atom in μB.
Positions (direct):
I 0.000 0.000 0.000  -0.02
Re 0.000 0.500 0.000  0.70
Re 0.000 0.000 0.500  0.78
Re 0.500 0.000 0.000  0.55
Ba 0.500 0.500 0.500  0.03

For the theoretical density, the calculation gives 10.916 g cm⁻³.

***

Stability, descending: ii, i